Here is crystalline RhWS3 at its relaxed geometry from the Alexandria database. Energies are from PBE-GGA.

Results
Magnetization, μB/f.u.: 2.22
Symmetry: Pm-3m, No. 221
E_form (uncorrected), eV/atom: 1.0750
Calculated density, g/cm³: 6.77
V, Å³ per atom: 18.8
DOS at the Fermi energy, states/eV/atom: 0.70

abc: 4.5460 4.5460 4.5460
angles: 90.00 90.00 90.00
Last column: nearest neighbours and their distance in Å.
Positions (direct):
S: 0.5000 0.0000 0.0000  2 Rh 2.27
S: 0.0000 0.5000 0.0000  2 Rh 2.27
S: 0.0000 0.0000 0.5000  2 Rh 2.27
W: 0.5000 0.5000 0.5000  12 S 3.21
Rh: 0.0000 0.0000 0.0000  6 S 2.27